This record from Alexandria via LeMat-Bulk describes crystalline AgMo2Br at its relaxed geometry. The functional is GGA-PBE.

* uncorrected formation energy: 4.40 eV per formula unit
* distance to the lowest polymorph of the same formula: 781.5 meV per atom
* M_tot: 0.000 μB/atom

a = 3.8512 Å, b = 3.8512 Å, c = 4.8826 Å
α = 90.00°, β = 90.00°, γ = 90.00°
Fractional positions:
Ag: 0.0000 0.0000 0.0000
Mo: 0.0000 0.5000 0.5000
Mo: 0.5000 0.0000 0.5000
Br: 0.5000 0.5000 0.0000